## Al2CdSe4 (PBEsol)

Data for a relaxed Al2CdSe4 crystal.

The structure in POSCAR format:
```
Al2CdSe4
1.0
5.738 0.000 0.000
0.000 5.738 0.000
0.000 0.000 10.725
Al Cd Se
4 2 8
Direct
0.000 0.000 0.000 Al
0.000 0.500 0.250 Al
0.500 0.000 0.750 Al
0.500 0.500 0.500 Al
0.000 0.000 0.500 Cd
0.500 0.500 0.000 Cd
0.225 0.240 0.861 Se
0.240 0.775 0.139 Se
0.260 0.725 0.639 Se
0.275 0.260 0.361 Se
0.725 0.740 0.361 Se
0.740 0.275 0.639 Se
0.760 0.225 0.139 Se
0.775 0.760 0.861 Se
```

Properties
M_tot	0.0	μB/f.u.
formation energy from raw total energies	-771	meV/atom
total energy	-60.35	eV per cell
Fermi-level density of states	0.00	states/eV/cell